Record 1
Compound: AcPmDy5Y2
Source: Alexandria via LeMat-Bulk
Functional: PBE
Structure: relaxed

a b c (Å): 5.5593 12.2805 9.3407
angles (deg): 90.00 90.00 103.08
Last column: nearest neighbours and their distance in Å.
Positions (direct):
Dy (0.3984, 0.7968, 0.0282)  4 Dy 3.23-3.59, 2 Y 3.49
Dy (0.4766, 0.9532, 0.7466)  3 Dy 3.23-3.57, 2 Ac 3.47-3.50, 2 Y 3.52
Dy (0.9932, 0.9864, 0.0188)  2 Y 3.37-3.76, 4 Dy 3.57-3.59
Dy (0.0068, 0.0136, 0.5188)  2 Y 3.37-3.76, 4 Dy 3.57-3.59
Dy (0.6920, 0.3840, 0.2300)  3 Pm 3.32-3.49, 3 Y 3.40, 4 Dy 3.44-3.58, 1 Ac 3.52
Dy (0.3080, 0.6160, 0.7300)  3 Pm 3.32-3.49, 3 Y 3.40, 4 Dy 3.44-3.58, 1 Ac 3.52
Dy (0.6016, 0.2032, 0.5282)  4 Dy 3.23-3.59, 2 Y 3.49
Ac (0.3976, 0.7953, 0.4311)  5 Dy 3.41-3.76
Dy (0.7428, 0.4855, 0.8693)  3 Pm 3.09-3.21, 1 Ac 3.41, 2 Dy 3.44
Dy (0.2572, 0.5145, 0.3693)  3 Pm 3.09-3.21, 1 Ac 3.41, 2 Dy 3.44
Y (0.8875, 0.7750, 0.7805)  9 Dy 3.37-3.76
Ac (0.6024, 0.2047, 0.9311)  5 Dy 3.41-3.76
Y (0.1675, 0.3350, 0.6788)  6 Dy 3.40-3.76, 2 Pm 3.77
Y (0.1125, 0.2250, 0.2805)  9 Dy 3.37-3.76
Y (0.8325, 0.6650, 0.1788)  6 Dy 3.40-3.76, 2 Pm 3.77
Pm (0.2407, 0.4814, 0.0408)  4 Dy 3.09-3.32
Dy (0.5234, 0.0468, 0.2466)  3 Dy 3.23-3.57, 2 Ac 3.47-3.50, 2 Y 3.52
Pm (0.7593, 0.5186, 0.5407)  4 Dy 3.09-3.32

## Properties
Its magnetization is 0.0 μB/cell. For the formation energy, the calculation gives 0.149 eV per atom. The volume comes out at 34.509 Å³/atom. As for the symmetry: No. 36. The total energy is -86.9 eV per cell.


Record 2
Compound: NaAsAu4
Source: Alexandria via LeMat-Bulk
Functional: PBE
Structure: relaxed

a b c (Å): 5.5723 5.5723 5.5723
angles (deg): 60.00 60.00 60.00
Last column: nearest neighbours and their distance in Å.
Positions (direct):
Au (0.6248, 0.6248, 0.6248)  6 Au 2.78-2.79
Au (0.1255, 0.6248, 0.6248)  6 Au 2.78-2.79
Au (0.6248, 0.6248, 0.1255)  6 Au 2.78-2.79
Au (0.6248, 0.1255, 0.6248)  6 Au 2.78-2.79
Na (0.2500, 0.2500, 0.2500)  12 Au 3.27, 4 As 3.41
As (0.0000, 0.0000, 0.0000)  12 Au 3.27, 4 Na 3.41

## Properties
Its magnetization is 0.0 μB/cell. For the formation energy, the calculation gives -0.022 eV per atom. The volume comes out at 20.391 Å³/atom. As for the symmetry: No. 216. The total energy is -19.2 eV per cell.


Record 3
Compound: LaPbO2F
Source: Alexandria via LeMat-Bulk
Functional: PBE
Structure: relaxed

a b c (Å): 4.6962 4.6962 4.5723
angles (deg): 90.00 90.00 90.00
Last column: nearest neighbours and their distance in Å.
Positions (direct):
F (0.0000, 0.0000, 0.5000)  2 La 2.29
O (0.5000, 0.0000, 0.0000)  2 La 2.35
La (0.0000, 0.0000, 0.0000)  2 F 2.29, 4 O 2.35
Pb (0.5000, 0.5000, 0.5000)  8 O 3.28, 4 F 3.32
O (0.0000, 0.5000, 0.0000)  2 La 2.35

## Properties
Its magnetization is 0.0 μB/cell. The volume comes out at 20.168 Å³/atom. As for the symmetry: No. 123. For the uncorrected formation energy, the calculation gives -2219 meV/atom. The total energy is -31.5 eV per cell.